Density functional theory data (PBE) for Pm2Tm7Tc2 after structural relaxation.

abc: 3.516 10.851 10.851
angles: 50.48 80.68 80.68
Element x y z (fractional)
Tc: 0.000 0.798 0.202
Tm: 0.500 0.041 0.959
Tm: 0.112 0.162 0.615
Pm: 0.244 0.337 0.176
Tm: 0.888 0.385 0.838
Tm: 0.580 0.516 0.324
Pm: 0.756 0.824 0.663
Tc: 0.500 0.344 0.656
Tm: 0.420 0.676 0.484
Tm: 0.135 0.750 0.980
Tm: 0.865 0.020 0.250

Results
Total magnetic moment = 0.000 μB/atom
Energy of formation = 49 meV/atom
Total DFT energy (no corrections) = -0.4076 Ry/atom

Density functional theory data (PBE) for Ac2Nd8Er3 after structural relaxation.

abc: 6.290 9.022 9.022
angles: 83.70 72.83 72.83
Element x y z (fractional)
Nd: 0.758 0.422 0.422
Er: 0.500 0.000 0.000
Nd: 0.338 0.409 0.911
Er: 0.000 0.259 0.741
Ac: 0.662 0.697 0.697
Nd: 0.069 0.859 0.859
Nd: 0.662 0.089 0.591
Nd: 0.338 0.911 0.409
Ac: 0.338 0.303 0.303
Er: 0.000 0.741 0.259
Nd: 0.662 0.591 0.089
Nd: 0.242 0.578 0.578
Nd: 0.931 0.141 0.141

Results
Total magnetic moment = 0.000 μB/atom
Energy of formation = 187 meV/atom
Total DFT energy (no corrections) = -0.3258 Ry/atom

Density functional theory data (PBE) for TbSmNbN3 after structural relaxation.

abc: 3.397 5.835 8.694
angles: 102.89 90.00 90.00
Element x y z (fractional)
Sm: 0.250 0.348 0.313
Sm: 0.750 0.652 0.687
N: 0.250 0.437 0.820
N: 0.750 0.563 0.180
Tb: 0.750 0.231 0.952
Nb: 0.250 0.135 0.635
N: 0.250 0.759 0.482
N: 0.250 0.955 0.827
Tb: 0.250 0.769 0.048
Nb: 0.750 0.865 0.365
N: 0.750 0.045 0.173
N: 0.750 0.241 0.518

Results
Formation energy from raw total energies = -1.3688 eV/atom
Total magnetic moment = 0.000 μB/atom
Total DFT energy (no corrections) = -0.6444 Ry/atom

Density functional theory data (PBE) for Ac2UPd2Se6 after structural relaxation.

abc: 7.032 7.901 7.563
angles: 121.49 90.00 116.42
Site moments in Bohr magnetons follow the coordinates.
Element x y z (fractional)
Se: 0.279 0.557 0.389  -0.02
Se: 0.322 0.159 0.830  -0.03
Se: 0.678 0.841 0.170  -0.03
Se: 0.721 0.443 0.611  -0.02
Pd: 0.072 0.143 0.251  -0.03
Pd: 0.928 0.857 0.749  -0.03
Se: 0.836 0.159 0.830  -0.03
Ac: 0.756 0.512 0.239  0.00
Ac: 0.244 0.488 0.761  0.00
U: 0.500 0.000 0.500  0.84
Se: 0.164 0.841 0.170  -0.03

Results
Formation energy from raw total energies = -1.1673 eV/atom
Total magnetic moment = 0.053 μB/atom
Total DFT energy (no corrections) = -0.4252 Ry/atom